Computed, not measured: a PBEsol-optimized structure of LaCrGe3 at the SCAN level of DFT.

## Properties
The calculated formation energy is -2.74 eV/f.u. Its total magnetization is 1.430 μB/f.u. The value obtained for the density of states at the Fermi level is 0.344 states/eV per atom.

a b c (Å): 6.1189 6.1189 5.6457
angles (deg): 90.00 90.00 120.00
Space group P6_3/mmc (No. 194)
Symmetry-distinct sites (fractional):
La: 0.3333 0.6667 0.2500 (multiplicity 2)
Cr: 0.0000 0.0000 0.0000 (multiplicity 2)
Ge: 0.1911 0.3822 0.7500 (multiplicity 6)